No. 1
## NaIn3Rh (PBE)

Data for a geometry-optimized NaIn3Rh structure.

Cell lengths 5.210, 5.210, 5.210 Å; angles 90.00, 90.00, 90.00 degrees
Fractional positions:
In 0.000 0.000 0.500
In 0.000 0.500 0.000
In 0.500 0.000 0.000
Na 0.000 0.000 0.000
Rh 0.500 0.500 0.500

For the total DFT energy (no corrections), the calculation gives -2.32 eV/atom. As for the space group: Pm-3m, No. 221. The calculation puts the energy above the most stable polymorph in this dataset at 1281 meV per atom. The calculation puts the energy of formation from the pure elements at 1055 meV/atom. Its density of states at the Fermi level is 0.815 states/eV/atom.

No. 2
## NaIn3Rh2 (PBE)

Data for a geometry-optimized NaIn3Rh2 structure.

Cell lengths 4.012, 6.274, 6.274 Å; angles 120.00, 90.00, 90.00 degrees
Fractional positions:
In 0.500 0.500 0.000
In 0.500 0.000 0.500
In 0.500 0.500 0.500
Rh 0.000 0.667 0.333
Rh 0.000 0.333 0.667
Na 0.000 0.000 0.000

For the total DFT energy (no corrections), the calculation gives -4.25 eV/atom. As for the space group: P6/mmm, No. 191. The calculation puts the energy above the most stable polymorph in this dataset at 101 meV per atom. The calculation puts the energy of formation from the pure elements at -207 meV/atom. Its density of states at the Fermi level is 0.644 states/eV/atom.

No. 3
## NaInRh (PBE)

Data for a geometry-optimized NaInRh structure.

Cell lengths 4.585, 11.639, 4.630 Å; angles 90.00, 90.00, 90.00 degrees
Fractional positions:
In 0.000 0.369 0.750
In 0.000 0.631 0.250
In 0.500 0.131 0.250
In 0.500 0.869 0.750
Rh 0.500 0.749 0.250
Rh 0.500 0.251 0.750
Rh 0.000 0.751 0.750
Rh 0.000 0.249 0.250
Na 0.500 0.586 0.750
Na 0.000 0.086 0.750
Na 0.500 0.414 0.250
Na 0.000 0.914 0.250

For the total DFT energy (no corrections), the calculation gives -3.95 eV/atom. As for the space group: Cmcm, No. 63. The calculation puts the energy of formation from the pure elements at -146 meV/atom. Its density of states at the Fermi level is 0.370 states/eV/atom.